[1]
Here is KTeH2O4 after structural relaxation from the Alexandria database. Energies are from GGA-PBE.

Geometry as extended XYZ:
```
8
Lattice="-1.422 2.501 -3.651 -3.705 -2.466 -3.205 -4.624 2.842 0.789" Properties=species:S:1:pos:R:3 pbc="T T T"
O -6.562 2.356 -3.434
O -3.999 1.945 -4.713
O -5.555 -0.207 -2.211
O -3.386 1.660 -1.777
H -6.709 2.344 -4.659
H -3.042 0.533 -1.409
K 0.000 0.000 0.000
Te -4.876 1.439 -3.034
```

Calculated values
Total energy   -4.784 eV/atom

---

[2]
Here is KTe2HO after structural relaxation from the Alexandria database. Energies are from GGA-PBE.

Geometry as extended XYZ:
```
5
Lattice="4.348 0.000 0.000 0.000 6.269 0.000 0.000 0.000 4.348" Properties=species:S:1:pos:R:3 pbc="T T T"
Te 2.174 0.000 0.000
Te 0.000 0.000 2.174
O 2.174 3.135 2.174
H 0.000 0.000 0.000
K 0.000 3.135 0.000
```

Calculated values
Total energy   -2.908 eV/atom

---

[3]
Here is KTe2H2O6 after structural relaxation from the Alexandria database. Energies are from GGA-PBE.

Geometry as extended XYZ:
```
11
Lattice="-1.922 -4.418 2.553 2.891 -4.796 -0.790 3.269 0.400 4.870" Properties=species:S:1:pos:R:3 pbc="T T T"
O 2.980 -4.361 1.749
O 3.839 -2.466 3.639
O 0.400 -6.348 2.993
O 3.959 -5.289 5.129
O 1.258 -4.453 4.884
O 0.279 -3.525 1.503
H 3.188 -3.602 2.362
H 1.050 -5.212 4.271
K 0.674 -2.009 3.712
Te 1.743 -3.852 0.253
Te 2.495 -4.962 6.380
```

Calculated values
Total energy   -5.069 eV/atom

---

The lowest total energy belongs to which entry? KTe2H2O6